Entry 1:
# Mg3Os

Mg3Os at its PBEsol-relaxed geometry (SCAN, the Alexandria database).

## Properties
The calculation puts the density of states at the Fermi level at 3.09 states/eV/f.u. As for the total energy: -0.7915 hartree per atom. The value obtained for the volume is 68 Å³ per cell. As for the energy of formation: 0.163 eV per atom.

POSCAR file:
```
Mg3Os
1.0
-3.2712 0.4143 -2.4066
-0.9217 -3.9349 0.5753
-2.2614 1.0044 3.2467
Mg Os
3 1
Direct
0.5000 0.0000 0.5000
0.5000 0.5000 0.0000
0.0000 0.5000 0.5000
0.0000 0.0000 0.0000
```

***

Entry 2:
# CuTeRh2

CuTeRh2 at its PBEsol-relaxed geometry (SCAN, the Alexandria database).

## Properties
The formation energy without anion corrections is -0.138 eV/atom. The calculation puts the density of states at the Fermi level at 1.73 states/eV/f.u. As for the total energy: -1.1075 hartree per atom. The value obtained for the volume is 59 Å³ per cell.

POSCAR file:
```
CuTeRh2
1.0
4.0867 0.0000 0.0000
-2.0433 4.0687 -0.0007
0.0000 -2.0518 3.5343
Rh Cu Te
2 1 1
Direct
0.7500 0.5000 0.2500
0.2500 0.5000 0.7500
0.5000 0.0000 0.5000
0.0000 0.0000 0.0000
```

***

Entry 3:
# GeBiPdO2

GeBiPdO2 at its PBEsol-relaxed geometry (SCAN, the Alexandria database).

## Properties
The formation energy without anion corrections is 0.104 eV/atom. The calculation puts the density of states at the Fermi level at 1.52 states/eV/f.u. As for the total energy: -1.0465 hartree per atom. The value obtained for the volume is 92 Å³ per cell.

POSCAR file:
```
GeBiPdO2
1.0
4.1429 0.0000 0.0000
0.0000 4.1429 0.0000
0.0000 0.0000 5.3535
O Bi Pd Ge
2 1 1 1
Direct
0.5000 0.0000 0.0000
0.0000 0.5000 0.0000
0.0000 0.0000 0.0000
0.0000 0.0000 0.5000
0.5000 0.5000 0.5000
```

***

Entry 4:
# LaCoGe3

LaCoGe3 at its PBEsol-relaxed geometry (SCAN, the Alexandria database).

## Properties
The calculation puts the density of states at the Fermi level at 2.93 states/eV/f.u. As for the total energy: -0.8854 hartree per atom. The value obtained for the volume is 188 Å³ per cell. As for the energy of formation: -0.558 eV per atom.

POSCAR file:
```
LaCoGe3
1.0
4.1585 0.0000 0.0000
0.0000 4.1911 0.0000
-2.0793 0.0000 10.8115
Co La Ge
2 2 6
Direct
0.3933 0.0000 0.7866
0.6067 0.0000 0.2134
0.8320 0.5000 0.6641
0.1680 0.5000 0.3359
0.2859 0.0000 0.5719
0.7141 0.0000 0.4281
0.5570 0.5000 0.1139
0.0572 0.0000 0.1144
0.4430 0.5000 0.8861
0.9428 0.0000 0.8856
```

***

Entry 5:
# FeCo2

FeCo2 at its PBEsol-relaxed geometry (SCAN, the Alexandria database).

## Properties
The calculation puts the density of states at the Fermi level at 1.98 states/eV/f.u. As for the total energy: -0.6504 hartree per atom. The value obtained for the volume is 64 Å³ per cell. As for the energy of formation: -0.120 eV per atom.

POSCAR file:
```
FeCo2
1.0
3.9106 0.0000 0.0000
1.9553 4.1759 0.0029
1.9553 1.4061 3.9504
Co Fe
4 2
Direct
0.6686 0.7525 0.9103
0.9914 0.7612 0.2560
0.3314 0.2475 0.0897
0.0086 0.2388 0.7440
0.6656 0.2576 0.4112
0.3344 0.7424 0.5888
```

***

Entry 6:
# ReBi2OsF

ReBi2OsF at its PBEsol-relaxed geometry (SCAN, the Alexandria database).

## Properties
The formation energy without anion corrections is 1.117 eV/atom. The calculation puts the density of states at the Fermi level at 5.02 states/eV/f.u. As for the total energy: -2.1909 hartree per atom. The value obtained for the volume is 133 Å³ per cell.

POSCAR file:
```
ReBi2OsF
1.0
4.7681 0.0000 0.0000
0.0000 5.2717 0.0000
0.0000 0.0000 5.2717
Re Bi F Os
1 2 1 1
Direct
0.5000 0.0000 0.0000
0.0000 0.5000 0.0000
0.0000 0.0000 0.5000
0.5000 0.5000 0.5000
0.0000 0.0000 0.0000
```

***

Entry 7:
# MgTa2Ag

MgTa2Ag at its PBEsol-relaxed geometry (SCAN, the Alexandria database).

## Properties
The calculation puts the density of states at the Fermi level at 3.20 states/eV/f.u. As for the total energy: -1.5469 hartree per atom. The value obtained for the volume is 70 Å³ per cell. As for the energy of formation: 0.283 eV per atom.

POSCAR file:
```
MgTa2Ag
1.0
-0.4579 3.6112 -1.2277
-2.6551 0.5860 2.7138
3.3734 1.4438 2.9887
Ta Mg Ag
2 1 1
Direct
0.0000 0.5000 0.0000
0.5000 0.0000 0.0000
0.0000 0.0000 0.5000
0.5000 0.5000 0.5000
```

***

Entry 8:
# CaFeC3

CaFeC3 at its PBEsol-relaxed geometry (SCAN, the Alexandria database).

## Properties
The calculation puts the density of states at the Fermi level at 4.38 states/eV/f.u. As for the total energy: -0.2941 hartree per atom. The value obtained for the volume is 73 Å³ per cell. As for the polymorph energy (0 for the lowest one): 2332.6 meV/atom. As for the energy of formation: 3.615 eV per atom.

POSCAR file:
```
CaFeC3
1.0
4.1879 0.0000 0.0000
0.0000 4.1879 0.0000
0.0000 0.0000 4.1879
Ca C Fe
1 3 1
Direct
0.0000 0.0000 0.0000
0.5000 0.0000 0.0000
0.0000 0.5000 0.0000
0.0000 0.0000 0.5000
0.5000 0.5000 0.5000
```

***

Entry 9:
# Li3SbH

Li3SbH at its PBEsol-relaxed geometry (SCAN, the Alexandria database).

## Properties
The calculation puts the density of states at the Fermi level at 1.59 states/eV/f.u. As for the total energy: -0.3695 hartree per atom. The value obtained for the volume is 70 Å³ per cell.

POSCAR file:
```
Li3SbH
1.0
-1.0692 1.2994 3.7571
-1.9339 -3.5693 0.6841
3.4734 -1.5872 1.5374
Sb Li H
1 3 1
Direct
0.5000 0.5000 0.5000
0.0000 0.5000 0.0000
0.5000 0.0000 0.0000
0.0000 0.0000 0.5000
0.0000 0.0000 0.0000
```

***

Entry 10:
# AgHg3

AgHg3 at its PBEsol-relaxed geometry (SCAN, the Alexandria database).

## Properties
The calculation puts the density of states at the Fermi level at 0.94 states/eV/f.u. As for the total energy: -2.1644 hartree per atom. The value obtained for the volume is 84 Å³ per cell. As for the energy of formation: 0.069 eV per atom.

POSCAR file:
```
AgHg3
1.0
-2.8223 0.2840 -1.4933
-2.6064 -1.4153 1.2163
-3.6843 7.3901 4.9284
Hg Ag
3 1
Direct
0.5000 0.5000 0.5000
0.7449 0.7449 0.7652
0.2551 0.2551 0.2348
0.0000 0.0000 0.0000
```

***

Entry 11:
# KLiCo2

KLiCo2 at its PBEsol-relaxed geometry (SCAN, the Alexandria database).

## Properties
The calculation puts the density of states at the Fermi level at 1.96 states/eV/f.u. As for the total energy: -0.3847 hartree per atom. The value obtained for the volume is 58 Å³ per cell. As for the polymorph energy (0 for the lowest one): 0.0 meV/atom. As for the energy of formation: 0.864 eV per atom.

POSCAR file:
```
KLiCo2
1.0
-1.9514 0.2689 1.7215
-2.2511 -1.2823 -0.3637
2.0536 -7.8452 5.5409
Co Li K
2 1 1
Direct
0.7604 0.7604 0.7188
0.2396 0.2396 0.2812
0.5000 0.5000 0.5000
0.0000 0.0000 0.0000
```

***

Entry 12:
# ReRu3

ReRu3 at its PBEsol-relaxed geometry (SCAN, the Alexandria database).

## Properties
The calculation puts the density of states at the Fermi level at 3.70 states/eV/f.u. As for the total energy: -1.6133 hartree per atom. The value obtained for the volume is 218 Å³ per cell. As for the polymorph energy (0 for the lowest one): 69.5 meV/atom. As for the energy of formation: -0.007 eV per atom.

POSCAR file:
```
ReRu3
1.0
-3.9817 -0.3473 -3.6198
5.1304 -0.5188 -1.5771
-0.4566 -8.5297 1.3205
Ru Re
12 4
Direct
0.5000 0.0000 0.5000
0.5000 0.0000 0.0000
0.1662 0.8338 0.7500
0.8338 0.1662 0.2500
0.0000 0.5000 0.5000
0.6677 0.8338 0.7500
0.5000 0.5000 0.5000
0.1662 0.3323 0.7500
0.3323 0.1662 0.2500
0.5000 0.5000 0.0000
0.0000 0.5000 0.0000
0.8338 0.6677 0.2500
0.3333 0.6667 0.2500
0.0000 0.0000 0.0000
0.6667 0.3333 0.7500
0.0000 0.0000 0.5000
```